A relaxed CaMnAs3 crystal. Source: the Alexandria database, functional GGA-PBE. Values from VASP.

Output
Its space group is No. 221. The total magnetization comes out at 2.84 μB/f.u. The energy of formation is -0.189 eV/atom.

The structure in Quantum ESPRESSO input format:
```
&SYSTEM
  ibrav = 0, nat = 5, ntyp = 3
/
ATOMIC_SPECIES
As 74.92 As.upf
Mn 54.94 Mn.upf
Ca 40.08 Ca.upf
CELL_PARAMETERS angstrom
-1.677 -3.418 2.910
1.406 -3.350 -3.124
4.263 -0.240 2.175
ATOMIC_POSITIONS crystal
As 0.000 0.500 0.000
As 0.000 0.000 0.500
As 0.500 0.000 0.000
Mn 0.000 0.000 0.000
Ca 0.500 0.500 0.500
```

---

A relaxed In2CuAu crystal. Source: the Alexandria database, functional GGA-PBE. Values from VASP.

Output
Its space group is No. 119. The total magnetization comes out at 0.00 μB/f.u. The energy of formation is 0.048 eV/atom.

The structure in Quantum ESPRESSO input format:
```
&SYSTEM
  ibrav = 0, nat = 4, ntyp = 3
/
ATOMIC_SPECIES
Au 196.97 Au.upf
Cu 63.55 Cu.upf
In 114.82 In.upf
CELL_PARAMETERS angstrom
5.310 -0.008 0.000
1.949 4.939 0.000
-3.630 -2.466 2.991
ATOMIC_POSITIONS crystal
Au 0.500 0.500 0.000
Cu 0.750 0.250 0.500
In 0.000 0.000 0.000
In 0.250 0.750 0.500
```

---

A relaxed MgAg4 crystal. Source: the Alexandria database, functional GGA-PBE. Values from VASP.

Output
Its space group is No. 166. The total magnetization comes out at 0.00 μB/f.u. The energy of formation is -0.025 eV/atom.

The structure in Quantum ESPRESSO input format:
```
&SYSTEM
  ibrav = 0, nat = 5, ntyp = 2
/
ATOMIC_SPECIES
Ag 107.87 Ag.upf
Mg 24.30 Mg.upf
CELL_PARAMETERS angstrom
-0.165 -2.438 1.744
11.817 -0.491 0.430
-0.311 2.731 1.205
ATOMIC_POSITIONS crystal
Ag 0.999 0.997 0.998
Ag 0.400 0.200 0.800
Ag 0.800 0.400 0.600
Ag 0.201 0.603 0.402
Mg 0.600 0.800 0.200
```

---

A relaxed Ho2ErMg5Sc2 crystal. Source: the Alexandria database, functional GGA-PBE. Values from VASP.

Output
Its space group is No. 127. The total magnetization comes out at 0.00 μB/f.u. The energy of formation is 0.037 eV/atom.

The structure in Quantum ESPRESSO input format:
```
&SYSTEM
  ibrav = 0, nat = 20, ntyp = 4
/
ATOMIC_SPECIES
Ho 164.93 Ho.upf
Er 167.26 Er.upf
Mg 24.30 Mg.upf
Sc 44.96 Sc.upf
CELL_PARAMETERS angstrom
-0.134 1.397 -4.742
-3.530 -9.289 -2.638
-9.652 3.314 1.248
ATOMIC_POSITIONS crystal
Ho 0.000 0.679 0.179
Ho 0.000 0.321 0.821
Ho 0.000 0.179 0.321
Ho 0.000 0.821 0.679
Er 0.000 0.000 0.000
Er 0.000 0.500 0.500
Mg 0.500 0.203 0.070
Mg 0.500 0.797 0.930
Mg 0.500 0.070 0.797
Mg 0.500 0.703 0.430
Mg 0.500 0.930 0.203
Mg 0.500 0.297 0.570
Mg 0.500 0.570 0.703
Mg 0.500 0.430 0.297
Mg 0.500 0.500 0.000
Mg 0.500 0.000 0.500
Sc 0.000 0.116 0.616
Sc 0.000 0.884 0.384
Sc 0.000 0.616 0.884
Sc 0.000 0.384 0.116
```

---

A relaxed Rb2RhCl4F2 crystal. Source: the Alexandria database, functional GGA-PBE. Values from VASP.

Output
Its space group is No. 12. The total magnetization comes out at 1.04 μB/f.u. As for the formation energy without anion corrections: -1.5120 eV per atom.

The structure in Quantum ESPRESSO input format:
```
&SYSTEM
  ibrav = 0, nat = 9, ntyp = 4
/
ATOMIC_SPECIES
Rb 85.47 Rb.upf
Rh 102.91 Rh.upf
Cl 35.45 Cl.upf
F 19.00 F.upf
CELL_PARAMETERS angstrom
6.563 0.690 0.470
2.236 6.396 0.068
2.236 2.412 5.924
ATOMIC_POSITIONS crystal
Rb 0.219 0.736 0.736
Rb 0.781 0.264 0.264
Rh 0.500 0.000 0.000
Cl 0.290 0.729 0.200
Cl 0.710 0.800 0.271
Cl 0.710 0.271 0.800
Cl 0.290 0.200 0.729
F 0.263 0.191 0.191
F 0.737 0.809 0.809
```

---

A relaxed RbNaBr2 crystal. Source: the Alexandria database, functional GGA-PBE. Values from VASP.

Output
Its space group is No. 160. The total magnetization comes out at 0.00 μB/f.u. As for the formation energy without anion corrections: -1.6097 eV per atom.

The structure in Quantum ESPRESSO input format:
```
&SYSTEM
  ibrav = 0, nat = 4, ntyp = 3
/
ATOMIC_SPECIES
Rb 85.47 Rb.upf
Na 22.99 Na.upf
Br 79.90 Br.upf
CELL_PARAMETERS angstrom
4.501 0.000 0.000
2.251 3.898 0.000
2.251 1.299 7.873
ATOMIC_POSITIONS crystal
Rb 0.499 0.499 0.504
Na 0.668 0.668 0.996
Br 0.071 0.071 0.787
Br 0.262 0.262 0.213
```

---

A relaxed TbScGa crystal. Source: the Alexandria database, functional GGA-PBE. Values from VASP.

Output
Its space group is No. 216. The total magnetization comes out at 0.00 μB/f.u. The energy of formation is -0.245 eV/atom.

The structure in Quantum ESPRESSO input format:
```
&SYSTEM
  ibrav = 0, nat = 3, ntyp = 3
/
ATOMIC_SPECIES
Sc 44.96 Sc.upf
Tb 158.93 Tb.upf
Ga 69.72 Ga.upf
CELL_PARAMETERS angstrom
-3.073 3.283 -1.750
-4.310 -1.380 -1.672
-4.005 1.104 2.453
ATOMIC_POSITIONS crystal
Sc 0.500 0.500 0.500
Tb 0.000 0.000 0.000
Ga 0.250 0.250 0.250
```

---

A relaxed Li3Hf3FeS8 crystal. Source: the Alexandria database, functional GGA-PBE. Values from VASP.

Output
Its space group is No. 12. The total magnetization comes out at 0.00 μB/f.u. As for the formation energy without anion corrections: -1.3196 eV per atom.

The structure in Quantum ESPRESSO input format:
```
&SYSTEM
  ibrav = 0, nat = 15, ntyp = 4
/
ATOMIC_SPECIES
Li 6.94 Li.upf
Hf 178.49 Hf.upf
Fe 55.84 Fe.upf
S 32.06 S.upf
CELL_PARAMETERS angstrom
-4.030 -4.762 -3.306
6.547 -1.715 2.034
-5.250 0.789 5.258
ATOMIC_POSITIONS crystal
Li 0.000 0.000 0.000
Li 0.000 0.500 0.000
Li 0.500 0.500 0.000
Hf 0.500 0.000 0.500
Hf 0.500 0.500 0.500
Hf 0.000 0.500 0.500
Fe 0.000 0.000 0.500
S 0.251 0.502 0.254
S 0.749 0.498 0.746
S 0.767 0.535 0.270
S 0.233 0.465 0.730
S 0.767 0.003 0.270
S 0.233 0.997 0.730
S 0.235 0.003 0.270
S 0.765 0.997 0.730
```

---

A relaxed ScTaB3 crystal. Source: the Alexandria database, functional GGA-PBE. Values from VASP.

Output
Its space group is No. 221. The total magnetization comes out at 0.00 μB/f.u. The energy of formation is 1.657 eV/atom.

The structure in Quantum ESPRESSO input format:
```
&SYSTEM
  ibrav = 0, nat = 5, ntyp = 3
/
ATOMIC_SPECIES
Sc 44.96 Sc.upf
B 10.81 B.upf
Ta 180.95 Ta.upf
CELL_PARAMETERS angstrom
3.989 0.000 0.000
0.000 3.989 0.000
0.000 0.000 3.989
ATOMIC_POSITIONS crystal
Sc 0.000 0.000 0.000
B 0.000 0.500 0.000
B 0.000 0.000 0.500
B 0.500 0.000 0.000
Ta 0.500 0.500 0.500
```

---

A relaxed CsDy2AuS4 crystal. Source: the Alexandria database, functional GGA-PBE. Values from VASP.

Output
Its space group is No. 63. The total magnetization comes out at 0.00 μB/f.u. As for the formation energy without anion corrections: -1.5174 eV per atom.

The structure in Quantum ESPRESSO input format:
```
&SYSTEM
  ibrav = 0, nat = 16, ntyp = 4
/
ATOMIC_SPECIES
Cs 132.91 Cs.upf
Dy 162.50 Dy.upf
Au 196.97 Au.upf
S 32.06 S.upf
CELL_PARAMETERS angstrom
-2.237 2.076 -2.722
-4.095 -5.810 2.006
-5.699 7.645 10.513
ATOMIC_POSITIONS crystal
Cs 0.116 0.233 0.750
Cs 0.884 0.767 0.250
Dy 0.369 0.739 0.565
Dy 0.631 0.261 0.065
Dy 0.631 0.261 0.435
Dy 0.369 0.739 0.935
Au 0.838 0.676 0.750
Au 0.162 0.324 0.250
S 0.254 0.508 0.097
S 0.746 0.492 0.597
S 0.746 0.492 0.903
S 0.254 0.508 0.403
S 0.000 0.000 0.500
S 0.000 0.000 0.000
S 0.436 0.872 0.750
S 0.564 0.128 0.250
```

---

A relaxed Ba4NaAu crystal. Source: the Alexandria database, functional GGA-PBE. Values from VASP.

Output
Its space group is No. 11. The total magnetization comes out at 0.00 μB/f.u. The energy of formation is -0.239 eV/atom.

The structure in Quantum ESPRESSO input format:
```
&SYSTEM
  ibrav = 0, nat = 12, ntyp = 3
/
ATOMIC_SPECIES
Ba 137.33 Ba.upf
Na 22.99 Na.upf
Au 196.97 Au.upf
CELL_PARAMETERS angstrom
2.890 -1.179 -6.903
-3.263 -7.626 -0.064
-10.662 4.547 1.858
ATOMIC_POSITIONS crystal
Ba 0.513 0.250 0.419
Ba 0.487 0.750 0.581
Ba 0.707 0.250 0.860
Ba 0.293 0.750 0.140
Ba 0.907 0.004 0.293
Ba 0.093 0.504 0.707
Ba 0.907 0.496 0.293
Ba 0.093 0.996 0.707
Na 0.358 0.250 0.048
Na 0.642 0.750 0.952
Au 0.236 0.250 0.555
Au 0.764 0.750 0.445
```

---

A relaxed Co2Si2Au crystal. Source: the Alexandria database, functional GGA-PBE. Values from VASP.

Output
Its space group is No. 127. The total magnetization comes out at 0.00 μB/f.u. As for the formation energy without anion corrections: -0.3124 eV per atom.

The structure in Quantum ESPRESSO input format:
```
&SYSTEM
  ibrav = 0, nat = 10, ntyp = 3
/
ATOMIC_SPECIES
Co 58.93 Co.upf
Si 28.09 Si.upf
Au 196.97 Au.upf
CELL_PARAMETERS angstrom
-4.240 -1.841 -4.981
-1.797 -5.501 3.562
-1.972 1.397 1.162
ATOMIC_POSITIONS crystal
Co 0.143 0.643 0.500
Co 0.643 0.857 0.500
Co 0.857 0.357 0.500
Co 0.357 0.143 0.500
Si 0.355 0.855 0.000
Si 0.855 0.645 0.000
Si 0.645 0.145 0.000
Si 0.145 0.355 0.000
Au 0.000 0.000 0.000
Au 0.500 0.500 0.000
```

---

Copy entry 11 word for word.
A relaxed Ba4NaAu crystal. Source: the Alexandria database, functional GGA-PBE. Values from VASP.

Output
Its space group is No. 11. The total magnetization comes out at 0.00 μB/f.u. The energy of formation is -0.239 eV/atom.

The structure in Quantum ESPRESSO input format:
```
&SYSTEM
  ibrav = 0, nat = 12, ntyp = 3
/
ATOMIC_SPECIES
Ba 137.33 Ba.upf
Na 22.99 Na.upf
Au 196.97 Au.upf
CELL_PARAMETERS angstrom
2.890 -1.179 -6.903
-3.263 -7.626 -0.064
-10.662 4.547 1.858
ATOMIC_POSITIONS crystal
Ba 0.513 0.250 0.419
Ba 0.487 0.750 0.581
Ba 0.707 0.250 0.860
Ba 0.293 0.750 0.140
Ba 0.907 0.004 0.293
Ba 0.093 0.504 0.707
Ba 0.907 0.496 0.293
Ba 0.093 0.996 0.707
Na 0.358 0.250 0.048
Na 0.642 0.750 0.952
Au 0.236 0.250 0.555
Au 0.764 0.750 0.445
```